# Y3Tl5 | Alexandria via LeMat-Bulk | GGA-PBE | optimized geometry
# - ΔE_f: -185 meV/atom
# - Spin magnetization: 0.000 Bohr magnetons per cell
# - DFT total energy: -65.41 eV per cell
# - Energy above the lowest structure with this stoichiometry: 130 meV per atom
data_Y3Tl5
_chemical_formula_sum 'Y6 Tl10'
_cell_length_a 9.0306
_cell_length_b 9.0306
_cell_length_c 6.5641
_cell_angle_alpha 90.00
_cell_angle_beta 90.00
_cell_angle_gamma 120.00
_symmetry_space_group_name_H-M 'P 63/m c m'
_symmetry_Int_Tables_number 193
_symmetry_space_group_name_Hall '-P 6c 2'
loop_
_atom_site_label
_atom_site_fract_x
_atom_site_fract_y
_atom_site_fract_z
Y1 0.0000 0.4074 0.2500
Tl1 0.0000 0.2196 0.7500
Tl2 0.3333 0.6667 0.0000